Entry from the Alexandria database: Ag2TeBr after structural relaxation (GGA-PBE).

Cell: 3.655 8.331 8.371 Å, 90.00 90.00 90.00°
Fractional coordinates of all 8 atoms:
Ag 0.000 0.248 0.000
Ag 0.000 0.752 0.000
Ag 0.500 0.252 0.500
Ag 0.500 0.748 0.500
Te 0.000 0.000 0.500
Te 0.500 0.500 0.000
Br 0.000 0.500 0.500
Br 0.500 0.000 0.000

Formation energy from raw total energies   0.00 eV per atom
Polymorph energy (0 for the lowest one)   134 meV/atom
Space-group type   Immm

Entry from the Alexandria database: AgTe6Br2 after structural relaxation (GGA-PBE).

Cell: 4.526 8.642 9.253 Å, 114.95 101.67 91.52°
Fractional coordinates of all 9 atoms:
Ag 0.000 0.000 0.000
Te 0.196 0.534 0.215
Te 0.349 0.202 0.715
Te 0.480 0.237 0.049
Te 0.520 0.763 0.951
Te 0.651 0.798 0.285
Te 0.804 0.466 0.785
Br 0.078 0.138 0.367
Br 0.922 0.862 0.633

Formation energy from raw total energies   -0.08 eV per atom
Space-group type   P-1

Entry from the Alexandria database: Ag12Te5Br2 after structural relaxation (GGA-PBE).

Cell: 8.627 8.627 8.970 Å, 112.99 112.99 54.13°
Fractional coordinates of all 19 atoms:
Ag 0.006 0.006 0.264
Ag 0.027 0.565 0.827
Ag 0.085 0.700 0.425
Ag 0.300 0.915 0.575
Ag 0.401 0.401 0.708
Ag 0.435 0.973 0.173
Ag 0.565 0.027 0.827
Ag 0.599 0.599 0.292
Ag 0.700 0.085 0.425
Ag 0.915 0.300 0.575
Ag 0.973 0.435 0.173
Ag 0.994 0.994 0.736
Te 0.198 0.198 0.890
Te 0.211 0.211 0.414
Te 0.500 0.500 0.500
Te 0.789 0.789 0.586
Te 0.802 0.802 0.110
Br 0.269 0.731 0.000
Br 0.731 0.269 0.000

Formation energy from raw total energies   -0.06 eV per atom
Space-group type   C2/m

Entry from the Alexandria database: AgTeBr after structural relaxation (GGA-PBE).

Cell: 6.993 6.993 6.993 Å, 90.00 90.00 90.00°
Fractional coordinates of all 12 atoms:
Ag 0.000 0.000 0.000
Ag 0.000 0.500 0.500
Ag 0.500 0.000 0.500
Ag 0.500 0.500 0.000
Te 0.250 0.250 0.250
Te 0.250 0.750 0.750
Te 0.750 0.250 0.750
Te 0.750 0.750 0.250
Br 0.250 0.250 0.750
Br 0.250 0.750 0.250
Br 0.750 0.250 0.250
Br 0.750 0.750 0.750

Formation energy from raw total energies   0.27 eV per atom
Space-group type   F-43m

Entry from the Alexandria database: AgTeBr after structural relaxation (GGA-PBE).

Cell: 3.905 3.905 6.233 Å, 90.00 90.00 120.00°
Fractional coordinates of all 3 atoms:
Ag 0.000 0.000 0.000
Te 0.333 0.667 0.723
Br 0.667 0.333 0.270

Formation energy from raw total energies   0.01 eV per atom
Space-group type   P3m1

Entry from the Alexandria database: Ag6Te3Br after structural relaxation (GGA-PBE).

Cell: 8.726 8.726 6.994 Å, 90.00 90.00 98.15°
Fractional coordinates of all 20 atoms:
Ag 0.016 0.984 0.500
Ag 0.087 0.555 0.715
Ag 0.228 0.772 0.403
Ag 0.235 0.431 0.326
Ag 0.431 0.235 0.826
Ag 0.445 0.913 0.715
Ag 0.555 0.087 0.215
Ag 0.569 0.765 0.326
Ag 0.765 0.569 0.826
Ag 0.772 0.228 0.903
Ag 0.913 0.445 0.215
Ag 0.984 0.016 0.000
Te 0.123 0.320 0.976
Te 0.320 0.123 0.476
Te 0.414 0.586 0.608
Te 0.586 0.414 0.108
Te 0.680 0.877 0.976
Te 0.877 0.680 0.476
Br 0.186 0.814 0.011
Br 0.814 0.186 0.511

Formation energy from raw total energies   -0.08 eV per atom
Space-group type   Cmc2_1

Entry from the Alexandria database: AgTeBr after structural relaxation (GGA-PBE).

Cell: 4.073 4.073 11.662 Å, 90.00 90.00 90.00°
Fractional coordinates of all 6 atoms:
Ag 0.000 0.000 0.000
Ag 0.500 0.500 0.500
Te 0.000 0.000 0.474
Te 0.500 0.500 0.974
Br 0.000 0.000 0.244
Br 0.500 0.500 0.744

Formation energy from raw total energies   0.01 eV per atom
Space-group type   I4mm

Entry from the Alexandria database: Ag5Te2Br after structural relaxation (GGA-PBE).

Cell: 7.909 14.005 14.192 Å, 90.00 90.00 90.00°
Fractional coordinates of all 64 atoms:
Ag 0.014 0.141 0.108
Ag 0.014 0.359 0.108
Ag 0.061 0.250 0.931
Ag 0.122 0.108 0.428
Ag 0.122 0.392 0.428
Ag 0.129 0.570 0.076
Ag 0.129 0.930 0.076
Ag 0.149 0.750 0.620
Ag 0.229 0.647 0.295
Ag 0.229 0.853 0.295
Ag 0.271 0.147 0.795
Ag 0.271 0.353 0.795
Ag 0.351 0.250 0.120
Ag 0.371 0.070 0.576
Ag 0.371 0.430 0.576
Ag 0.378 0.608 0.928
Ag 0.378 0.892 0.928
Ag 0.439 0.750 0.431
Ag 0.486 0.641 0.608
Ag 0.486 0.859 0.608
Ag 0.514 0.141 0.392
Ag 0.514 0.359 0.392
Ag 0.561 0.250 0.569
Ag 0.622 0.108 0.072
Ag 0.622 0.392 0.072
Ag 0.629 0.570 0.424
Ag 0.629 0.930 0.424
Ag 0.649 0.750 0.880
Ag 0.729 0.647 0.205
Ag 0.729 0.853 0.205
Ag 0.771 0.147 0.705
Ag 0.771 0.353 0.705
Ag 0.851 0.250 0.380
Ag 0.871 0.070 0.924
Ag 0.871 0.430 0.924
Ag 0.878 0.608 0.572
Ag 0.878 0.892 0.572
Ag 0.939 0.750 0.069
Ag 0.986 0.641 0.892
Ag 0.986 0.859 0.892
Te 0.211 0.590 0.489
Te 0.211 0.910 0.489
Te 0.217 0.250 0.627
Te 0.246 0.750 0.812
Te 0.254 0.250 0.312
Te 0.283 0.750 0.127
Te 0.289 0.090 0.989
Te 0.289 0.410 0.989
Te 0.711 0.590 0.011
Te 0.711 0.910 0.011
Te 0.717 0.250 0.873
Te 0.746 0.750 0.688
Te 0.754 0.250 0.188
Te 0.783 0.750 0.373
Te 0.789 0.090 0.511
Te 0.789 0.410 0.511
Br 0.011 0.004 0.749
Br 0.011 0.496 0.749
Br 0.489 0.504 0.249
Br 0.489 0.996 0.249
Br 0.511 0.004 0.751
Br 0.511 0.496 0.751
Br 0.989 0.504 0.251
Br 0.989 0.996 0.251

Formation energy from raw total energies   -0.13 eV per atom
Polymorph energy (0 for the lowest one)   0 meV/atom
Space-group type   Pnma

Entry from the Alexandria database: Ag2TeBr after structural relaxation (GGA-PBE).

Cell: 3.984 3.611 7.267 Å, 90.00 90.11 90.00°
Fractional coordinates of all 4 atoms:
Ag 0.004 0.000 0.201
Ag 0.996 0.000 0.799
Te 0.500 0.500 0.000
Br 0.000 0.500 0.500

Formation energy from raw total energies   -0.06 eV per atom
Polymorph energy (0 for the lowest one)   69 meV/atom
Space-group type   P2/m

Entry from the Alexandria database: AgTeBr after structural relaxation (GGA-PBE).

Cell: 3.290 3.290 15.662 Å, 90.00 90.00 90.00°
Fractional coordinates of all 6 atoms:
Ag 0.000 0.000 0.000
Ag 0.500 0.500 0.500
Te 0.000 0.000 0.638
Te 0.500 0.500 0.138
Br 0.000 0.000 0.383
Br 0.500 0.500 0.883

Formation energy from raw total energies   0.08 eV per atom
Space-group type   I4mm

Entry from the Alexandria database: Ag3TeBr2 after structural relaxation (GGA-PBE).

Cell: 6.780 12.560 7.945 Å, 90.00 90.00 90.00°
Fractional coordinates of all 24 atoms:
Ag 0.013 0.073 0.241
Ag 0.013 0.427 0.241
Ag 0.247 0.250 0.655
Ag 0.253 0.750 0.155
Ag 0.487 0.573 0.741
Ag 0.487 0.927 0.741
Ag 0.513 0.073 0.259
Ag 0.513 0.427 0.259
Ag 0.747 0.250 0.845
Ag 0.753 0.750 0.345
Ag 0.987 0.573 0.759
Ag 0.987 0.927 0.759
Te 0.241 0.750 0.813
Te 0.259 0.250 0.313
Te 0.741 0.750 0.687
Te 0.759 0.250 0.187
Br 0.243 0.082 0.875
Br 0.243 0.418 0.875
Br 0.257 0.582 0.375
Br 0.257 0.918 0.375
Br 0.743 0.082 0.625
Br 0.743 0.418 0.625
Br 0.757 0.582 0.125
Br 0.757 0.918 0.125

Formation energy from raw total energies   -0.19 eV per atom
Polymorph energy (0 for the lowest one)   0 meV/atom
Space-group type   Pnma

Entry from the Alexandria database: AgTeBr after structural relaxation (GGA-PBE).

Cell: 3.823 6.449 13.738 Å, 90.00 90.00 90.00°
Fractional coordinates of all 12 atoms:
Ag 0.000 0.000 0.000
Ag 0.000 0.500 0.500
Ag 0.500 0.000 0.500
Ag 0.500 0.500 0.000
Te 0.000 0.000 0.645
Te 0.000 0.500 0.145
Te 0.500 0.000 0.145
Te 0.500 0.500 0.645
Br 0.000 0.000 0.367
Br 0.000 0.500 0.867
Br 0.500 0.000 0.867
Br 0.500 0.500 0.367

Formation energy from raw total energies   0.01 eV per atom
Space-group type   Fmm2

Entry from the Alexandria database: AgTeBr after structural relaxation (GGA-PBE).

Cell: 5.620 4.122 8.394 Å, 90.00 98.77 90.00°
Fractional coordinates of all 6 atoms:
Ag 0.198 0.250 0.171
Ag 0.802 0.750 0.829
Te 0.413 0.750 0.598
Te 0.587 0.250 0.402
Br 0.148 0.250 0.839
Br 0.852 0.750 0.161

Formation energy from raw total energies   -0.22 eV per atom
Space-group type   P2_1/m

Entry from the Alexandria database: AgTe4Br after structural relaxation (GGA-PBE).

Cell: 6.350 6.350 6.350 Å, 60.00 60.00 60.00°
Fractional coordinates of all 6 atoms:
Ag 0.000 0.000 0.000
Te 0.376 0.376 0.376
Te 0.376 0.376 0.873
Te 0.376 0.873 0.376
Te 0.873 0.376 0.376
Br 0.750 0.750 0.750

Formation energy from raw total energies   0.36 eV per atom
Polymorph energy (0 for the lowest one)   398 meV/atom
Space-group type   F-43m

Entry from the Alexandria database: Ag7Te2Br3 after structural relaxation (GGA-PBE).

Cell: 13.288 13.288 7.210 Å, 90.00 90.00 29.92°
Fractional coordinates of all 24 atoms:
Ag 0.101 0.163 0.366
Ag 0.159 0.466 0.345
Ag 0.163 0.101 0.866
Ag 0.208 0.792 0.500
Ag 0.228 0.612 0.204
Ag 0.388 0.772 0.204
Ag 0.466 0.159 0.845
Ag 0.534 0.841 0.345
Ag 0.612 0.228 0.704
Ag 0.772 0.388 0.704
Ag 0.792 0.208 0.000
Ag 0.837 0.899 0.366
Ag 0.841 0.534 0.845
Ag 0.899 0.837 0.866
Te 0.188 0.607 0.586
Te 0.393 0.812 0.586
Te 0.607 0.188 0.086
Te 0.812 0.393 0.086
Br 0.061 0.513 0.984
Br 0.218 0.782 0.984
Br 0.487 0.939 0.984
Br 0.513 0.061 0.484
Br 0.782 0.218 0.484
Br 0.939 0.487 0.484

Formation energy from raw total energies   -0.18 eV per atom
Space-group type   Cmc2_1

Entry from the Alexandria database: AgTe2Br6 after structural relaxation (GGA-PBE).

Cell: 10.242 10.242 8.042 Å, 102.61 102.61 68.49°
Fractional coordinates of all 18 atoms:
Ag 0.068 0.932 0.750
Ag 0.932 0.068 0.250
Te 0.077 0.418 0.670
Te 0.418 0.077 0.170
Te 0.582 0.923 0.830
Te 0.923 0.582 0.330
Br 0.030 0.811 0.403
Br 0.159 0.636 0.823
Br 0.189 0.970 0.097
Br 0.269 0.275 0.469
Br 0.275 0.269 0.969
Br 0.364 0.841 0.677
Br 0.636 0.159 0.323
Br 0.725 0.731 0.031
Br 0.731 0.725 0.531
Br 0.811 0.030 0.903
Br 0.841 0.364 0.177
Br 0.970 0.189 0.597

Formation energy from raw total energies   -0.23 eV per atom
Space-group type   C2/c

Entry from the Alexandria database: AgTe4Br after structural relaxation (GGA-PBE).

Cell: 4.453 6.434 6.741 Å, 89.84 72.69 89.99°
Fractional coordinates of all 6 atoms:
Ag 0.000 0.000 0.000
Te 0.343 0.500 0.348
Te 0.408 0.000 0.295
Te 0.592 0.000 0.705
Te 0.657 0.500 0.652
Br 0.000 0.500 0.000

Formation energy from raw total energies   -0.04 eV per atom
Polymorph energy (0 for the lowest one)   0 meV/atom
Space-group type   P-1

Entry from the Alexandria database: Ag2TeBr after structural relaxation (GGA-PBE).

Cell: 3.944 3.944 16.116 Å, 90.00 90.00 90.00°
Fractional coordinates of all 8 atoms:
Ag 0.000 0.000 0.000
Ag 0.000 0.500 0.250
Ag 0.500 0.000 0.750
Ag 0.500 0.500 0.500
Te 0.000 0.000 0.500
Te 0.500 0.500 0.000
Br 0.000 0.500 0.750
Br 0.500 0.000 0.250

Formation energy from raw total energies   0.02 eV per atom
Polymorph energy (0 for the lowest one)   154 meV/atom
Space-group type   I-4m2

Entry from the Alexandria database: Ag2TeBr6 after structural relaxation (GGA-PBE).

Cell: 7.139 6.699 14.073 Å, 90.00 120.46 90.00°
Fractional coordinates of all 18 atoms:
Ag 0.180 0.001 0.180
Ag 0.180 0.499 0.680
Ag 0.820 0.501 0.320
Ag 0.820 0.999 0.820
Te 0.500 0.000 0.000
Te 0.500 0.500 0.500
Br 0.172 0.733 0.339
Br 0.172 0.767 0.839
Br 0.184 0.231 0.000
Br 0.184 0.269 0.500
Br 0.494 0.733 0.661
Br 0.494 0.767 0.161
Br 0.506 0.233 0.839
Br 0.506 0.267 0.339
Br 0.816 0.731 0.500
Br 0.816 0.769 0.000
Br 0.828 0.233 0.161
Br 0.828 0.267 0.661

Formation energy from raw total energies   -0.34 eV per atom
Polymorph energy (0 for the lowest one)   0 meV/atom
Space-group type   P2_1/c

Entry from the Alexandria database: Ag2TeBr after structural relaxation (GGA-PBE).

Cell: 6.419 6.419 12.415 Å, 90.00 90.00 90.00°
Fractional coordinates of all 16 atoms:
Ag 0.242 0.250 0.125
Ag 0.250 0.742 0.375
Ag 0.250 0.758 0.875
Ag 0.258 0.250 0.625
Ag 0.742 0.750 0.625
Ag 0.750 0.242 0.875
Ag 0.750 0.258 0.375
Ag 0.758 0.750 0.125
Te 0.000 0.000 0.000
Te 0.000 0.500 0.250
Te 0.500 0.000 0.750
Te 0.500 0.500 0.500
Br 0.000 0.000 0.500
Br 0.000 0.500 0.750
Br 0.500 0.000 0.250
Br 0.500 0.500 0.000

Formation energy from raw total energies   -0.09 eV per atom
Polymorph energy (0 for the lowest one)   39 meV/atom
Space-group type   I-42d